Below is LaMgCl2 after structural relaxation, with properties calculated at the PBE level.

Summary:
**Energy above the lowest structure with this stoichiometry**: 0.149 eV per atom
**Formation energy (no corrections)**: -1.19 eV per atom

Cell lengths 3.7456, 6.0392, 4.5319 Å; angles 90.00, 90.00, 90.00 degrees
Atoms (fractional coordinates):
Cl 0.0000 0.0000 0.0000
Cl 0.5000 0.5000 0.0000
La 0.5000 0.0000 0.5000
Mg 0.0000 0.5000 0.5000